(1)
Below is a geometry-optimized Tb2NdHo5 structure, with properties calculated at the PBE-GGA level.

Lattice parameters (Å, degrees): 7.1101 14.2250 5.0128 90.00 90.00 90.00
Space group Pbam (No. 55)
Unique sites:
Tb1 0.2490 0.1259 0.0000
Nd1 0.0000 0.5000 0.5000
Ho1 0.0000 0.0000 0.5000
Ho2 0.9997 0.2490 0.5000
Ho3 0.2503 0.3741 0.0000

The calculation puts the total magnetization at 0.00 μB/f.u.

(2)
Below is a geometry-optimized Tb3Nd8Ho structure, with properties calculated at the PBE-GGA level.

Lattice parameters (Å, degrees): 7.0861 12.0625 9.8547 90.00 104.03 90.00
Space group C2/m (No. 12)
Unique sites:
Tb1 0.0000 0.0000 0.0000
Tb2 0.2500 0.2500 0.5000
Nd1 0.0707 0.2518 0.8342
Nd2 0.1805 0.0000 0.6680
Nd3 0.1811 0.5000 0.6643
Ho1 0.0000 0.5000 0.0000

The calculation puts the total magnetization at 0.00 μB/f.u.

| no. | total energy (eV/f.u.) | E_form (eV/atom) |
| --- | --- | --- |
| 1 | -36.78 | 0.017 |
| 2 | -55.26 | 0.112 |